Density functional theory data (GGA-PBE) for a geometry-optimized ThIn2Cu9 structure.

For the formation energy, the calculation gives -1.50 eV/f.u.

It has space group P6_3/mmc (No. 194), with a = 5.0789 Å, b = 5.0789 Å, c = 16.4382 Å, α = 90.00°, β = 90.00° and γ = 120.00°. The inequivalent atoms are Th at (0.3333, 0.6667, 0.2500), In at (0.3333, 0.6667, 0.0382), Cu at (0.0000, 0.0000, 0.0000), Cu at (0.0000, 0.0000, 0.2500), Cu at (0.1679, 0.3358, 0.6238) and Cu at (0.3333, 0.6667, 0.7500).

=====

Density functional theory data (GGA-PBE) for a geometry-optimized SrMnCdH2 structure.

The value obtained for the total DFT energy (no corrections) is -3.1654 eV per atom.

It has space group P4/mmm (No. 123), with a = 4.3721 Å, b = 4.3721 Å, c = 6.7893 Å, α = 90.00°, β = 90.00° and γ = 90.00°. The inequivalent atoms are Sr at (0.0000, 0.0000, 0.0000), Mn at (0.5000, 0.5000, 0.5000), Cd at (0.0000, 0.0000, 0.5000) and H at (0.0000, 0.5000, 0.0000).